{
  "formula": "Y2Ga4PdPt",
  "functional": "PBE-GGA",
  "state": "optimized geometry",
  "lattice": [[6.713, 0.000, 0.000], [0.000, 4.379, 0.000], [0.000, 0.000, 10.216]],
  "species": ["Y", "Y", "Y", "Y", "Ga", "Ga", "Ga", "Ga", "Ga", "Ga", "Ga", "Ga", "Pd", "Pd", "Pt", "Pt"],
  "frac_coords": [[0.000, 0.000, 0.000], [0.000, 0.500, 0.500], [0.500, 0.000, 0.164], [0.500, 0.500, 0.664], [0.198, 0.000, 0.714], [0.198, 0.500, 0.214], [0.304, 0.000, 0.452], [0.304, 0.500, 0.952], [0.696, 0.000, 0.452], [0.696, 0.500, 0.952], [0.802, 0.000, 0.714], [0.802, 0.500, 0.214], [0.500, 0.000, 0.877], [0.500, 0.500, 0.377], [0.000, 0.000, 0.288], [0.000, 0.500, 0.788]],
  "sg": "Amm2",
  "density_kg_m3": 8385,
  "total_energy_ev_per_atom": -5.405
}

=====

{
  "formula": "Y4Hf2Zn3C3",
  "functional": "PBE-GGA",
  "state": "optimized geometry",
  "lattice": [[5.236, -3.026, 0.000], [5.236, 3.026, 0.000], [-3.633, 0.000, 14.523]],
  "species": ["Y", "Y", "Y", "Y", "Y", "Y", "Y", "Y", "Hf", "Hf", "Hf", "Hf", "Zn", "Zn", "Zn", "Zn", "Zn", "Zn", "C", "C", "C", "C", "C", "C"],
  "frac_coords": [[0.043, 0.193, 0.101], [0.123, 0.299, 0.399], [0.193, 0.043, 0.601], [0.299, 0.123, 0.899], [0.701, 0.877, 0.101], [0.807, 0.957, 0.399], [0.877, 0.701, 0.601], [0.957, 0.807, 0.899], [0.347, 0.526, 0.074], [0.474, 0.653, 0.426], [0.526, 0.347, 0.574], [0.653, 0.474, 0.926], [0.165, 0.586, 0.250], [0.338, 0.662, 0.750], [0.414, 0.835, 0.250], [0.586, 0.165, 0.750], [0.662, 0.338, 0.250], [0.835, 0.414, 0.750], [0.000, 0.500, 0.000], [0.192, 0.654, 0.500], [0.346, 0.808, 0.000], [0.500, 0.000, 0.500], [0.654, 0.192, 0.000], [0.808, 0.346, 0.500]],
  "sg": "C2/c",
  "density_kg_m3": 6818,
  "total_energy_ev_per_atom": -6.824
}

=====

{
  "formula": "LuCuHg2",
  "functional": "PBE-GGA",
  "state": "optimized geometry",
  "lattice": [[6.855, 0.000, 0.000], [0.000, 6.855, 0.000], [0.000, 0.000, 6.855]],
  "species": ["Lu", "Lu", "Lu", "Lu", "Cu", "Cu", "Cu", "Cu", "Hg", "Hg", "Hg", "Hg", "Hg", "Hg", "Hg", "Hg"],
  "frac_coords": [[0.000, 0.000, 0.000], [0.000, 0.500, 0.500], [0.500, 0.000, 0.500], [0.500, 0.500, 0.000], [0.250, 0.250, 0.750], [0.250, 0.750, 0.250], [0.750, 0.250, 0.250], [0.750, 0.750, 0.750], [0.000, 0.000, 0.500], [0.000, 0.500, 0.000], [0.250, 0.250, 0.250], [0.250, 0.750, 0.750], [0.500, 0.000, 0.000], [0.500, 0.500, 0.500], [0.750, 0.250, 0.750], [0.750, 0.750, 0.250]],
  "formation_enthalpy_0k_ev_per_atom": -0.174,
  "sg": "F-43m",
  "density_kg_m3": 13192,
  "total_energy_ev_per_atom": -2.383
}

=====

{
  "formula": "HfB4As",
  "functional": "PBE-GGA",
  "state": "optimized geometry",
  "lattice": [[3.054, 0.000, 0.000], [0.000, 5.395, 0.000], [0.000, 0.000, 7.414]],
  "species": ["Hf", "Hf", "B", "B", "B", "B", "B", "B", "B", "B", "As", "As"],
  "frac_coords": [[0.000, 0.000, 0.000], [0.500, 0.500, 0.500], [0.000, 0.333, 0.251], [0.000, 0.333, 0.749], [0.000, 0.667, 0.251], [0.000, 0.667, 0.749], [0.500, 0.167, 0.249], [0.500, 0.167, 0.751], [0.500, 0.833, 0.249], [0.500, 0.833, 0.751], [0.000, 0.000, 0.500], [0.500, 0.500, 0.000]],
  "sg": "Immm",
  "density_kg_m3": 8064,
  "e_above_lowest_polymorph_mev_per_atom": 49,
  "total_energy_ev_per_atom": -6.890
}

=====

{
  "formula": "Nb2Tc",
  "functional": "PBE-GGA",
  "state": "optimized geometry",
  "lattice": [[0.000, 3.762, 3.762], [3.762, 0.000, 3.762], [3.762, 3.762, 0.000]],
  "species": ["Nb", "Nb", "Nb", "Nb", "Tc", "Tc"],
  "frac_coords": [[0.000, 0.000, 0.000], [0.000, 0.000, 0.500], [0.000, 0.500, 0.000], [0.500, 0.000, 0.000], [0.375, 0.375, 0.375], [0.625, 0.625, 0.625]],
  "formation_enthalpy_0k_ev_per_atom": 0.479,
  "sg": "Fd-3m",
  "density_kg_m3": 8851,
  "e_above_lowest_polymorph_mev_per_atom": 740,
  "total_energy_ev_per_atom": -9.704
}

=====

{
  "formula": "HfNbAs2",
  "functional": "PBE-GGA",
  "state": "optimized geometry",
  "lattice": [[3.786, 0.000, 0.000], [-1.893, 3.279, 0.000], [0.000, 0.000, 12.357]],
  "species": ["Hf", "Hf", "Nb", "Nb", "As", "As", "As", "As"],
  "frac_coords": [[0.000, 0.000, 0.138], [0.000, 0.000, 0.862], [0.667, 0.333, 0.369], [0.667, 0.333, 0.631], [0.000, 0.000, 0.500], [0.333, 0.667, 0.256], [0.333, 0.667, 0.744], [0.667, 0.333, 0.000]],
  "sg": "P-6m2",
  "density_kg_m3": 9122,
  "e_above_lowest_polymorph_mev_per_atom": 0,
  "total_energy_ev_per_atom": -8.045
}

=====

{
  "formula": "ZnW",
  "functional": "PBE-GGA",
  "state": "optimized geometry",
  "lattice": [[5.454, 0.000, 0.000], [0.000, 4.499, 0.000], [-0.509, 0.000, 7.544]],
  "species": ["Zn", "Zn", "Zn", "Zn", "Zn", "Zn", "W", "W", "W", "W", "W", "W"],
  "frac_coords": [[0.067, 0.250, 0.076], [0.268, 0.250, 0.748], [0.426, 0.750, 0.922], [0.574, 0.250, 0.078], [0.732, 0.750, 0.252], [0.933, 0.750, 0.924], [0.084, 0.750, 0.570], [0.237, 0.750, 0.256], [0.419, 0.250, 0.401], [0.581, 0.750, 0.599], [0.763, 0.250, 0.744], [0.916, 0.250, 0.430]],
  "formation_enthalpy_0k_ev_per_atom": 0.239,
  "sg": "P2_1/m",
  "density_kg_m3": 13415,
  "e_above_lowest_polymorph_mev_per_atom": 17,
  "total_energy_ev_per_atom": -6.873
}

=====

{
  "formula": "Al2CdSi",
  "functional": "PBE-GGA",
  "state": "optimized geometry",
  "lattice": [[6.651, 0.000, 0.000], [0.000, 6.651, 0.000], [0.000, 0.000, 6.651]],
  "species": ["Al", "Al", "Al", "Al", "Al", "Al", "Al", "Al", "Cd", "Cd", "Cd", "Cd", "Si", "Si", "Si", "Si"],
  "frac_coords": [[0.000, 0.000, 0.000], [0.000, 0.500, 0.500], [0.250, 0.250, 0.250], [0.250, 0.750, 0.750], [0.500, 0.000, 0.500], [0.500, 0.500, 0.000], [0.750, 0.250, 0.750], [0.750, 0.750, 0.250], [0.250, 0.250, 0.750], [0.250, 0.750, 0.250], [0.750, 0.250, 0.250], [0.750, 0.750, 0.750], [0.000, 0.000, 0.500], [0.000, 0.500, 0.000], [0.500, 0.000, 0.000], [0.500, 0.500, 0.500]],
  "sg": "F-43m",
  "density_kg_m3": 4390,
  "total_energy_ev_per_atom": -3.103
}

=====

{
  "formula": "CsNiAuSe2S",
  "functional": "PBE-GGA",
  "state": "optimized geometry",
  "lattice": [[1.892, -8.014, 0.000], [1.892, 8.014, 0.000], [0.000, 0.000, 10.604]],
  "species": ["Cs", "Cs", "Ni", "Ni", "Au", "Au", "Se", "Se", "Se", "Se", "S", "S"],
  "frac_coords": [[0.231, 0.769, 0.750], [0.769, 0.231, 0.250], [0.500, 0.500, 0.000], [0.500, 0.500, 0.500], [0.074, 0.926, 0.250], [0.926, 0.074, 0.750], [0.095, 0.905, 0.018], [0.095, 0.905, 0.482], [0.905, 0.095, 0.518], [0.905, 0.095, 0.982], [0.465, 0.535, 0.250], [0.535, 0.465, 0.750]],
  "sg": "Cmcm",
  "density_kg_m3": 5975,
  "total_energy_ev_per_atom": -3.699
}

=====

{
  "formula": "YFeB",
  "functional": "PBE-GGA",
  "state": "optimized geometry",
  "lattice": [[3.531, 0.000, 0.000], [0.000, 3.531, 0.000], [0.000, 0.000, 7.685]],
  "species": ["Y", "Y", "Fe", "Fe", "B", "B"],
  "frac_coords": [[0.250, 0.250, 0.195], [0.750, 0.750, 0.805], [0.250, 0.750, 0.500], [0.750, 0.250, 0.500], [0.250, 0.250, 0.633], [0.750, 0.750, 0.367]],
  "sg": "P4/nmm",
  "density_kg_m3": 5393,
  "e_above_lowest_polymorph_mev_per_atom": 0,
  "total_energy_ev_per_atom": -7.523
}

=====

{
  "formula": "HfZrGa2Cu2",
  "functional": "PBE-GGA",
  "state": "optimized geometry",
  "lattice": [[4.181, 0.000, 0.000], [-2.090, 3.621, 0.000], [0.000, 0.000, 6.559]],
  "species": ["Hf", "Zr", "Ga", "Ga", "Cu", "Cu"],
  "frac_coords": [[0.000, 0.000, 0.000], [0.000, 0.000, 0.500], [0.333, 0.667, 0.267], [0.333, 0.667, 0.733], [0.667, 0.333, 0.206], [0.667, 0.333, 0.794]],
  "sg": "P-6m2",
  "density_kg_m3": 8969,
  "e_above_lowest_polymorph_mev_per_atom": 0,
  "total_energy_ev_per_atom": -5.763
}

=====

{
  "formula": "PrNpGe",
  "functional": "PBE-GGA",
  "state": "optimized geometry",
  "lattice": [[7.100, 0.000, 0.000], [0.000, 7.100, 0.000], [0.000, 0.000, 7.100]],
  "species": ["Pr", "Pr", "Pr", "Pr", "Np", "Np", "Np", "Np", "Ge", "Ge", "Ge", "Ge"],
  "frac_coords": [[0.000, 0.000, 0.000], [0.000, 0.500, 0.500], [0.500, 0.000, 0.500], [0.500, 0.500, 0.000], [0.000, 0.000, 0.500], [0.000, 0.500, 0.000], [0.500, 0.000, 0.000], [0.500, 0.500, 0.500], [0.250, 0.250, 0.750], [0.250, 0.750, 0.250], [0.750, 0.250, 0.250], [0.750, 0.750, 0.750]],
  "sg": "F-43m",
  "density_kg_m3": 8361,
  "e_above_lowest_polymorph_mev_per_atom": 0,
  "total_energy_ev_per_atom": -7.370
}

=====

{
  "formula": "AcHf",
  "functional": "PBE-GGA",
  "state": "optimized geometry",
  "lattice": [[5.658, 0.000, 0.000], [-2.829, 4.900, 0.000], [0.000, 0.000, 5.296]],
  "species": ["Ac", "Ac", "Hf", "Hf"],
  "frac_coords": [[0.333, 0.667, 0.250], [0.667, 0.333, 0.750], [0.000, 0.000, 0.000], [0.000, 0.000, 0.500]],
  "formation_enthalpy_0k_ev_per_atom": 0.692,
  "sg": "P6_3/mmc",
  "density_kg_m3": 9173,
  "e_above_lowest_polymorph_mev_per_atom": 191,
  "total_energy_ev_per_atom": -6.339
}

=====

{
  "formula": "IrO3",
  "functional": "PBE-GGA",
  "state": "optimized geometry",
  "lattice": [[4.790, 0.000, 0.000], [0.000, 8.267, 0.000], [-1.914, 0.000, 2.352]],
  "species": ["Ir", "Ir", "O", "O", "O", "O", "O", "O"],
  "frac_coords": [[0.000, 0.000, 0.000], [0.500, 0.500, 0.000], [0.000, 0.149, 0.500], [0.000, 0.500, 0.500], [0.000, 0.851, 0.500], [0.500, 0.000, 0.500], [0.500, 0.351, 0.500], [0.500, 0.649, 0.500]],
  "sg": "C2/m",
  "density_kg_m3": 8565,
  "total_energy_ev_per_atom": -6.322
}

=====

{
  "formula": "K2Hg",
  "functional": "PBE-GGA",
  "state": "optimized geometry",
  "lattice": [[0.000, 7.775, 7.775], [7.775, 0.000, 7.775], [7.775, 7.775, 0.000]],
  "species": ["K", "K", "K", "K", "Hg", "Hg"],
  "frac_coords": [[0.000, 0.000, 0.000], [0.000, 0.000, 0.500], [0.000, 0.500, 0.000], [0.500, 0.000, 0.000], [0.125, 0.125, 0.125], [0.875, 0.875, 0.875]],
  "sg": "Fd-3m",
  "density_kg_m3": 985,
  "e_above_lowest_polymorph_mev_per_atom": 181,
  "total_energy_ev_per_atom": -0.551
}

=====

{
  "formula": "Er3Al2GaGe2Pt",
  "functional": "PBE-GGA",
  "state": "optimized geometry",
  "lattice": [[4.212, 0.000, 0.000], [0.000, 5.967, 3.511], [0.000, -5.967, 3.511]],
  "species": ["Er", "Er", "Er", "Al", "Al", "Ga", "Ge", "Ge", "Pt"],
  "frac_coords": [[0.000, 0.000, 0.000], [0.000, 0.167, 0.575], [0.000, 0.575, 0.167], [0.500, 0.583, 0.816], [0.500, 0.816, 0.583], [0.500, 0.347, 0.347], [0.500, 0.247, 0.906], [0.500, 0.906, 0.247], [0.000, 0.596, 0.596]],
  "sg": "Amm2",
  "density_kg_m3": 9086,
  "total_energy_ev_per_atom": -5.266
}

=====

{
  "formula": "ZrAg",
  "functional": "PBE-GGA",
  "state": "optimized geometry",
  "lattice": [[5.005, 0.000, 0.000], [0.000, 6.049, 0.000], [0.000, 0.000, 10.622]],
  "species": ["Zr", "Zr", "Zr", "Zr", "Zr", "Zr", "Zr", "Zr", "Ag", "Ag", "Ag", "Ag", "Ag", "Ag", "Ag", "Ag"],
  "frac_coords": [[0.250, 0.004, 0.071], [0.250, 0.250, 0.332], [0.250, 0.250, 0.804], [0.250, 0.496, 0.071], [0.750, 0.504, 0.929], [0.750, 0.750, 0.196], [0.750, 0.750, 0.668], [0.750, 0.996, 0.929], [0.250, 0.508, 0.573], [0.250, 0.750, 0.339], [0.250, 0.750, 0.819], [0.250, 0.992, 0.573], [0.750, 0.008, 0.427], [0.750, 0.250, 0.181], [0.750, 0.250, 0.661], [0.750, 0.492, 0.427]],
  "formation_enthalpy_0k_ev_per_atom": -0.007,
  "sg": "Pmmn",
  "density_kg_m3": 8224,
  "total_energy_ev_per_atom": -5.693
}

=====

{
  "formula": "Sr2LiPdO6",
  "functional": "PBE-GGA",
  "state": "optimized geometry",
  "lattice": [[0.000, 3.912, 3.912], [3.912, 0.000, 3.912], [3.912, 3.912, 0.000]],
  "species": ["Sr", "Sr", "Li", "Pd", "O", "O", "O", "O", "O", "O"],
  "frac_coords": [[0.250, 0.250, 0.250], [0.750, 0.750, 0.750], [0.000, 0.000, 0.000], [0.500, 0.500, 0.500], [0.250, 0.250, 0.750], [0.250, 0.750, 0.250], [0.250, 0.750, 0.750], [0.750, 0.250, 0.250], [0.750, 0.250, 0.750], [0.750, 0.750, 0.250]],
  "sg": "Fm-3m",
  "density_kg_m3": 5335,
  "total_energy_ev_per_atom": -5.433
}

=====

{
  "formula": "CsLaNp",
  "functional": "PBE-GGA",
  "state": "optimized geometry",
  "lattice": [[8.176, 0.000, 0.000], [0.000, 8.176, 0.000], [0.000, 0.000, 8.176]],
  "species": ["Cs", "Cs", "Cs", "Cs", "La", "La", "La", "La", "Np", "Np", "Np", "Np"],
  "frac_coords": [[0.000, 0.000, 0.000], [0.000, 0.500, 0.500], [0.500, 0.000, 0.500], [0.500, 0.500, 0.000], [0.250, 0.250, 0.250], [0.250, 0.750, 0.750], [0.750, 0.250, 0.750], [0.750, 0.750, 0.250], [0.000, 0.000, 0.500], [0.000, 0.500, 0.000], [0.500, 0.000, 0.000], [0.500, 0.500, 0.500]],
  "sg": "F-43m",
  "density_kg_m3": 6185,
  "e_above_lowest_polymorph_mev_per_atom": 0,
  "total_energy_ev_per_atom": -4.574
}

=====

{
  "formula": "TbGd2Cu4Sn4",
  "functional": "PBE-GGA",
  "state": "optimized geometry",
  "lattice": [[-2.243, 3.478, 7.390], [2.243, -3.478, 7.390], [2.243, 3.478, -7.390]],
  "species": ["Tb", "Gd", "Gd", "Cu", "Cu", "Cu", "Cu", "Sn", "Sn", "Sn", "Sn"],
  "frac_coords": [[0.000, 0.000, 0.000], [0.369, 0.869, 0.500], [0.631, 0.131, 0.500], [0.017, 0.330, 0.687], [0.358, 0.670, 0.687], [0.642, 0.330, 0.313], [0.983, 0.670, 0.313], [0.216, 0.216, 0.000], [0.297, 0.500, 0.797], [0.703, 0.500, 0.203], [0.784, 0.784, 0.000]],
  "sg": "Immm",
  "density_kg_m3": 8660,
  "total_energy_ev_per_atom": -4.603
}